DFT (PBE) results for a geometry-optimized InAsSe2 structure.

## Properties
DFT total energy in eV/cell: -45.33
Energy relative to the elements, uncorrected in meV/atom: -188
N(E_F) in states/eV per atom: 0.061

a = 4.0440 Å, b = 4.0440 Å, c = 21.0380 Å
α = 90.00°, β = 90.00°, γ = 120.00°
Space group R-3m (No. 166, hexagonal axes)
Asymmetric unit:
In1 0.0000 0.0000 0.0000 x3
As1 0.0000 0.0000 0.5000 x3
Se1 0.0000 0.0000 0.2384 x6